Entry 1:
First-principles (GGA-PBE) data for a relaxed YScAgGe crystal, as listed in Alexandria.

Results
calculated total energy: -5.579 eV/atom
ΔE_f: -2.1 eV per formula unit

Lattice parameters (Å, degrees): 4.950 4.950 4.950 60.00 60.00 60.00
Fractional coordinates of all 4 atoms:
Ge: 0.500 0.500 0.500
Y: 0.250 0.250 0.250
Ag: 0.000 0.000 0.000
Sc: 0.750 0.750 0.750

Entry 2:
First-principles (GGA-PBE) data for a relaxed YTi2CrS crystal, as listed in Alexandria.

Results
uncorrected formation energy: 1889 meV/atom
calculated total energy: -5.312 eV/atom

Lattice parameters (Å, degrees): 4.977 4.398 4.977 90.00 90.00 90.00
Fractional coordinates of all 5 atoms:
Ti: 0.500 0.000 0.000
S: 0.500 0.500 0.500
Y: 0.000 0.000 0.000
Ti: 0.000 0.000 0.500
Cr: 0.000 0.500 0.000

Entry 3:
First-principles (GGA-PBE) data for a relaxed LaPmNd2 crystal, as listed in Alexandria.

Results
calculated total energy: -4.789 eV/atom
ΔE_f: 0.1 eV per formula unit
polymorph energy (0 for the lowest one): 0.000 eV/f.u.

Lattice parameters (Å, degrees): 5.226 5.209 5.209 90.00 90.00 90.00
Fractional coordinates of all 4 atoms:
Nd: 0.000 0.500 0.000
Pm: 0.500 0.500 0.500
Nd: 0.000 0.000 0.500
La: 0.500 0.000 0.000

Entry 4:
First-principles (GGA-PBE) data for a relaxed ZnOsPt2 crystal, as listed in Alexandria.

Results
calculated total energy: -6.169 eV/atom
ΔE_f: -0.1 eV per formula unit

Lattice parameters (Å, degrees): 4.714 4.714 2.729 90.00 90.00 90.00
Fractional coordinates of all 4 atoms:
Os: 0.000 0.500 0.500
Pt: 0.500 0.500 0.000
Zn: 0.500 0.000 0.500
Pt: 0.000 0.000 0.000

Entry 5:
First-principles (GGA-PBE) data for a relaxed Ac5P crystal, as listed in Alexandria.

Results
calculated total energy: -4.468 eV/atom
ΔE_f: -0.9 eV per formula unit

Lattice parameters (Å, degrees): 6.439 4.012 9.708 101.93 90.00 90.00
Fractional coordinates of all 6 atoms:
Ac: 0.000 0.377 0.755
Ac: 0.500 0.500 0.000
P: 0.000 0.000 0.000
Ac: 0.000 0.623 0.245
Ac: 0.500 0.829 0.659
Ac: 0.500 0.171 0.341

Entry 6:
First-principles (GGA-PBE) data for a relaxed ZrScPb3 crystal, as listed in Alexandria.

Results
calculated total energy: -4.706 eV/atom
ΔE_f: 2.5 eV per formula unit
polymorph energy (0 for the lowest one): 0.000 eV/f.u.

Lattice parameters (Å, degrees): 5.593 5.593 5.593 90.00 90.00 90.00
Fractional coordinates of all 5 atoms:
Pb: 0.500 0.000 0.000
Zr: 0.000 0.000 0.000
Pb: 0.000 0.500 0.000
Pb: 0.000 0.000 0.500
Sc: 0.500 0.500 0.500